# 1
VASP calculation (PBE) on a geometry-optimized Dy2NiSe structure.

extended XYZ file:
```
4
Lattice="3.938 0.000 0.000 1.969 3.410 0.000 1.969 1.137 6.987" Properties=species:S:1:pos:R:3 pbc="T T T"
Dy 1.969 1.137 5.459
Dy 1.969 1.137 1.517
Ni 3.938 2.273 0.007
Se 3.938 2.273 3.497
```

Summary:
For the total moment, the calculation gives 0.000 μB per atom. As for the crystal system: trigonal. As for the space group: R3m (160). Its calculated total energy is -5.619 eV/atom.

# 2
VASP calculation (PBE) on a geometry-optimized Dy2NiSe structure.

extended XYZ file:
```
8
Lattice="4.136 0.000 0.000 0.000 3.835 -0.681 0.000 0.018 11.235" Properties=species:S:1:pos:R:3 pbc="T T T"
Dy 3.102 2.593 3.465
Dy 1.034 1.259 7.089
Dy 3.102 3.613 9.206
Dy 1.034 0.239 1.348
Ni 1.034 1.801 10.139
Ni 3.102 2.052 0.415
Se 1.034 0.748 4.211
Se 3.102 3.104 6.342
```

Summary:
For the total moment, the calculation gives 0.000 μB per atom. As for the crystal system: orthorhombic. As for the space group: Cmcm (63). Its calculated total energy is -5.703 eV/atom.

# 3
VASP calculation (PBE) on a geometry-optimized Dy2NiSe structure.

extended XYZ file:
```
4
Lattice="3.490 0.000 0.000 0.000 3.490 0.000 0.000 0.000 6.990" Properties=species:S:1:pos:R:3 pbc="T T T"
Ni 1.745 1.745 0.000
Se 1.745 1.745 3.495
Dy 0.000 0.000 5.364
Dy 0.000 0.000 1.626
```

Summary:
For the total moment, the calculation gives 0.000 μB per atom. As for the crystal system: tetragonal. As for the space group: P4/mmm (123). Its calculated total energy is -5.479 eV/atom.

# 4
VASP calculation (PBE) on a geometry-optimized Dy3NiSe2 structure.

extended XYZ file:
```
6
Lattice="3.743 0.000 -1.061 -0.609 5.371 -2.149 0.010 -0.280 7.171" Properties=species:S:1:pos:R:3 pbc="T T T"
Dy 1.111 1.695 3.921
Dy 0.000 0.000 0.000
Dy 2.033 3.396 0.040
Ni -0.304 2.686 -1.075
Se 2.420 0.836 1.405
Se 0.724 4.255 2.556
```

Summary:
For the total moment, the calculation gives 0.000 μB per atom. As for the crystal system: orthorhombic. As for the space group: Immm (71). Its calculated total energy is -5.686 eV/atom.

> Which of these has the highest calculated total energy?

number 3